# MgRu2S PBE relaxed
# E (eV per atom): -6.03
# Formation energy from raw total energies (meV per atom): 37
# M_tot (Bohr magnetons per cell): 0.00
data_MgRu2S
_symmetry_space_group_name_H-M 'I -4 2 d'
_symmetry_Int_Tables_number 122
_symmetry_space_group_name_Hall 'I -4 2bw'
_cell_length_a 7.039
_cell_length_b 7.039
_cell_length_c 5.242
_cell_angle_alpha 90.00
_cell_angle_beta 90.00
_cell_angle_gamma 90.00
loop_
_atom_site_label
_atom_site_type_symbol
_atom_site_fract_x
_atom_site_fract_y
_atom_site_fract_z
_atom_site_occupancy
Mg1 Mg 0.000 0.000 0.000 1
Ru1 Ru 0.159 0.750 0.625 1
S1 S 0.000 0.000 0.500 1



# Mg3RuS PBE relaxed
# E (eV per atom): -3.19
# Formation energy from raw total energies (meV per atom): 447
# M_tot (Bohr magnetons per cell): 0.00
data_Mg3RuS
_symmetry_space_group_name_H-M 'P m -3 m'
_symmetry_Int_Tables_number 221
_symmetry_space_group_name_Hall '-P 4 2 3'
_cell_length_a 4.874
_cell_length_b 4.874
_cell_length_c 4.874
_cell_angle_alpha 90.00
_cell_angle_beta 90.00
_cell_angle_gamma 90.00
loop_
_atom_site_label
_atom_site_type_symbol
_atom_site_fract_x
_atom_site_fract_y
_atom_site_fract_z
_atom_site_occupancy
Mg1 Mg 0.000 0.000 0.500 1
Ru1 Ru 0.000 0.000 0.000 1
S1 S 0.500 0.500 0.500 1



# MgRuS2 PBE relaxed
# E (eV per atom): -5.27
# Formation energy from raw total energies (meV per atom): -486
# M_tot (Bohr magnetons per cell): 0.00
data_MgRuS2
_symmetry_space_group_name_H-M 'I -4 2 d'
_symmetry_Int_Tables_number 122
_symmetry_space_group_name_Hall 'I -4 2bw'
_cell_length_a 5.368
_cell_length_b 5.368
_cell_length_c 11.375
_cell_angle_alpha 90.00
_cell_angle_beta 90.00
_cell_angle_gamma 90.00
loop_
_atom_site_label
_atom_site_type_symbol
_atom_site_fract_x
_atom_site_fract_y
_atom_site_fract_z
_atom_site_occupancy
Mg1 Mg 0.000 0.000 0.000 1
Ru1 Ru 0.000 0.000 0.500 1
S1 S 0.220 0.250 0.625 1



# MgSc2RuS PBE relaxed
# E (eV per atom): -4.57
# Formation energy from raw total energies (meV per atom): 966
# M_tot (Bohr magnetons per cell): 0.00
data_MgSc2RuS
_symmetry_space_group_name_H-M 'P 4/m m m'
_symmetry_Int_Tables_number 123
_symmetry_space_group_name_Hall '-P 4 2'
_cell_length_a 5.197
_cell_length_b 5.197
_cell_length_c 4.247
_cell_angle_alpha 90.00
_cell_angle_beta 90.00
_cell_angle_gamma 90.00
loop_
_atom_site_label
_atom_site_type_symbol
_atom_site_fract_x
_atom_site_fract_y
_atom_site_fract_z
_atom_site_occupancy
Mg1 Mg 0.000 0.000 0.000 1
Sc1 Sc 0.000 0.500 0.000 1
Ru1 Ru 0.500 0.500 0.500 1
S1 S 0.000 0.000 0.500 1



# SrMgRuS2 PBE relaxed
# E (eV per atom): -4.57
# Formation energy from raw total energies (meV per atom): -410
# M_tot (Bohr magnetons per cell): 0.77
data_SrMgRuS2
_symmetry_space_group_name_H-M 'P 4/m m m'
_symmetry_Int_Tables_number 123
_symmetry_space_group_name_Hall '-P 4 2'
_cell_length_a 4.886
_cell_length_b 4.886
_cell_length_c 4.636
_cell_angle_alpha 90.00
_cell_angle_beta 90.00
_cell_angle_gamma 90.00
loop_
_atom_site_label
_atom_site_type_symbol
_atom_site_fract_x
_atom_site_fract_y
_atom_site_fract_z
_atom_site_occupancy
Sr1 Sr 0.000 0.000 0.000 1
Mg1 Mg 0.500 0.500 0.000 1
Ru1 Ru 0.500 0.500 0.500 1
S1 S 0.000 0.500 0.500 1



# MgTc2RuS PBE relaxed
# E (eV per atom): -5.96
# Formation energy from raw total energies (meV per atom): 1183
# M_tot (Bohr magnetons per cell): 2.15
data_MgTc2RuS
_symmetry_space_group_name_H-M 'P 4/m m m'
_symmetry_Int_Tables_number 123
_symmetry_space_group_name_Hall '-P 4 2'
_cell_length_a 4.740
_cell_length_b 4.740
_cell_length_c 4.511
_cell_angle_alpha 90.00
_cell_angle_beta 90.00
_cell_angle_gamma 90.00
loop_
_atom_site_label
_atom_site_type_symbol
_atom_site_fract_x
_atom_site_fract_y
_atom_site_fract_z
_atom_site_occupancy
Mg1 Mg 0.000 0.000 0.000 1
Tc1 Tc 0.000 0.500 0.500 1
Ru1 Ru 0.500 0.500 0.500 1
S1 S 0.500 0.500 0.000 1



# Mg2ZrRuS PBE relaxed
# E (eV per atom): -3.89
# Formation energy from raw total energies (meV per atom): 1142
# M_tot (Bohr magnetons per cell): 2.16
data_Mg2ZrRuS
_symmetry_space_group_name_H-M 'P 4/m m m'
_symmetry_Int_Tables_number 123
_symmetry_space_group_name_Hall '-P 4 2'
_cell_length_a 5.634
_cell_length_b 5.634
_cell_length_c 4.736
_cell_angle_alpha 90.00
_cell_angle_beta 90.00
_cell_angle_gamma 90.00
loop_
_atom_site_label
_atom_site_type_symbol
_atom_site_fract_x
_atom_site_fract_y
_atom_site_fract_z
_atom_site_occupancy
Mg1 Mg 0.000 0.500 0.000 1
Zr1 Zr 0.000 0.000 0.000 1
Ru1 Ru 0.500 0.500 0.500 1
S1 S 0.000 0.000 0.500 1



# Mg2SbRu PBE relaxed
# E (eV per atom): -4.20
# Formation energy from raw total energies (meV per atom): -50
# M_tot (Bohr magnetons per cell): 0.00
data_Mg2SbRu
_symmetry_space_group_name_H-M 'P 1 m 1'
_symmetry_Int_Tables_number 6
_symmetry_space_group_name_Hall 'P -2y'
_cell_length_a 3.393
_cell_length_b 4.281
_cell_length_c 5.708
_cell_angle_alpha 90.00
_cell_angle_beta 107.19
_cell_angle_gamma 90.00
loop_
_atom_site_label
_atom_site_type_symbol
_atom_site_fract_x
_atom_site_fract_y
_atom_site_fract_z
_atom_site_occupancy
Mg1 Mg 0.000 0.000 0.000 1
Mg2 Mg 0.337 0.500 0.677 1
Sb1 Sb 0.725 0.000 0.452 1
Ru1 Ru 0.591 0.500 0.185 1



# MgSbRu2 PBE relaxed
# E (eV per atom): -5.82
# Formation energy from raw total energies (meV per atom): 249
# M_tot (Bohr magnetons per cell): 5.45
data_MgSbRu2
_symmetry_space_group_name_H-M 'F -4 3 m'
_symmetry_Int_Tables_number 216
_symmetry_space_group_name_Hall 'F -4 2 3'
_cell_length_a 6.429
_cell_length_b 6.429
_cell_length_c 6.429
_cell_angle_alpha 90.00
_cell_angle_beta 90.00
_cell_angle_gamma 90.00
loop_
_atom_site_label
_atom_site_type_symbol
_atom_site_fract_x
_atom_site_fract_y
_atom_site_fract_z
_atom_site_occupancy
Mg1 Mg 0.000 0.000 0.000 1
Sb1 Sb 0.250 0.250 0.750 1
Ru1 Ru 0.000 0.000 0.500 1
Ru2 Ru 0.250 0.250 0.250 1



# Mg4SbRu PBE relaxed
# E (eV per atom): -3.05
# Formation energy from raw total energies (meV per atom): 251
# M_tot (Bohr magnetons per cell): 0.00
data_Mg4SbRu
_symmetry_space_group_name_H-M 'F -4 3 m'
_symmetry_Int_Tables_number 216
_symmetry_space_group_name_Hall 'F -4 2 3'
_cell_length_a 7.782
_cell_length_b 7.782
_cell_length_c 7.782
_cell_angle_alpha 90.00
_cell_angle_beta 90.00
_cell_angle_gamma 90.00
loop_
_atom_site_label
_atom_site_type_symbol
_atom_site_fract_x
_atom_site_fract_y
_atom_site_fract_z
_atom_site_occupancy
Mg1 Mg 0.124 0.124 0.124 1
Sb1 Sb 0.000 0.000 0.500 1
Ru1 Ru 0.250 0.250 0.750 1



# MgSbRu2 PBE relaxed
# E (eV per atom): -5.97
# Formation energy from raw total energies (meV per atom): 94
# M_tot (Bohr magnetons per cell): 0.00
data_MgSbRu2
_symmetry_space_group_name_H-M 'P 4 m m'
_symmetry_Int_Tables_number 99
_symmetry_space_group_name_Hall 'P 4 -2'
_cell_length_a 3.006
_cell_length_b 3.006
_cell_length_c 8.067
_cell_angle_alpha 90.00
_cell_angle_beta 90.00
_cell_angle_gamma 90.00
loop_
_atom_site_label
_atom_site_type_symbol
_atom_site_fract_x
_atom_site_fract_y
_atom_site_fract_z
_atom_site_occupancy
Mg1 Mg 0.000 0.000 0.000 1
Sb1 Sb 0.500 0.500 0.652 1
Ru1 Ru 0.000 0.000 0.413 1
Ru2 Ru 0.500 0.500 0.222 1



# MgSb3Ru PBE relaxed
# E (eV per atom): -4.30
# Formation energy from raw total energies (meV per atom): 349
# M_tot (Bohr magnetons per cell): 0.00
data_MgSb3Ru
_symmetry_space_group_name_H-M 'P m -3 m'
_symmetry_Int_Tables_number 221
_symmetry_space_group_name_Hall '-P 4 2 3'
_cell_length_a 5.175
_cell_length_b 5.175
_cell_length_c 5.175
_cell_angle_alpha 90.00
_cell_angle_beta 90.00
_cell_angle_gamma 90.00
loop_
_atom_site_label
_atom_site_type_symbol
_atom_site_fract_x
_atom_site_fract_y
_atom_site_fract_z
_atom_site_occupancy
Mg1 Mg 0.000 0.000 0.000 1
Sb1 Sb 0.000 0.500 0.500 1
Ru1 Ru 0.500 0.500 0.500 1



# MgSbRu2 PBE relaxed
# E (eV per atom): -6.11
# Formation energy from raw total energies (meV per atom): -46
# M_tot (Bohr magnetons per cell): 0.00
data_MgSbRu2
_symmetry_space_group_name_H-M 'C 1 m 1'
_symmetry_Int_Tables_number 8
_symmetry_space_group_name_Hall 'C -2y'
_cell_length_a 9.671
_cell_length_b 3.087
_cell_length_c 4.637
_cell_angle_alpha 90.00
_cell_angle_beta 109.51
_cell_angle_gamma 90.00
loop_
_atom_site_label
_atom_site_type_symbol
_atom_site_fract_x
_atom_site_fract_y
_atom_site_fract_z
_atom_site_occupancy
Mg1 Mg 0.000 0.000 0.000 1
Sb1 Sb 0.274 0.500 0.381 1
Ru1 Ru 0.018 0.500 0.501 1
Ru2 Ru 0.250 0.000 0.881 1



# Mg2SbRu PBE relaxed
# E (eV per atom): -4.22
# Formation energy from raw total energies (meV per atom): -73
# M_tot (Bohr magnetons per cell): 0.00
data_Mg2SbRu
_symmetry_space_group_name_H-M 'P 4/m m m'
_symmetry_Int_Tables_number 123
_symmetry_space_group_name_Hall '-P 4 2'
_cell_length_a 4.184
_cell_length_b 4.184
_cell_length_c 4.121
_cell_angle_alpha 90.00
_cell_angle_beta 90.00
_cell_angle_gamma 90.00
loop_
_atom_site_label
_atom_site_type_symbol
_atom_site_fract_x
_atom_site_fract_y
_atom_site_fract_z
_atom_site_occupancy
Mg1 Mg 0.000 0.500 0.000 1
Sb1 Sb 0.000 0.000 0.500 1
Ru1 Ru 0.500 0.500 0.500 1



# Mg2SbRu PBE relaxed
# E (eV per atom): -4.21
# Formation energy from raw total energies (meV per atom): -61
# M_tot (Bohr magnetons per cell): 0.57
data_Mg2SbRu
_symmetry_space_group_name_H-M 'P 4 m m'
_symmetry_Int_Tables_number 99
_symmetry_space_group_name_Hall 'P 4 -2'
_cell_length_a 3.472
_cell_length_b 3.472
_cell_length_c 6.297
_cell_angle_alpha 90.00
_cell_angle_beta 90.00
_cell_angle_gamma 90.00
loop_
_atom_site_label
_atom_site_type_symbol
_atom_site_fract_x
_atom_site_fract_y
_atom_site_fract_z
_atom_site_occupancy
Mg1 Mg 0.000 0.000 0.000 1
Mg2 Mg 0.500 0.500 0.273 1
Sb1 Sb 0.500 0.500 0.722 1
Ru1 Ru 0.000 0.000 0.512 1



# Mg2SbRu PBE relaxed
# E (eV per atom): -4.17
# Formation energy from raw total energies (meV per atom): -19
# M_tot (Bohr magnetons per cell): 0.00
data_Mg2SbRu
_symmetry_space_group_name_H-M 'F -4 3 m'
_symmetry_Int_Tables_number 216
_symmetry_space_group_name_Hall 'F -4 2 3'
_cell_length_a 6.600
_cell_length_b 6.600
_cell_length_c 6.600
_cell_angle_alpha 90.00
_cell_angle_beta 90.00
_cell_angle_gamma 90.00
loop_
_atom_site_label
_atom_site_type_symbol
_atom_site_fract_x
_atom_site_fract_y
_atom_site_fract_z
_atom_site_occupancy
Mg1 Mg 0.000 0.000 0.000 1
Mg2 Mg 0.250 0.250 0.250 1
Sb1 Sb 0.000 0.000 0.500 1
Ru1 Ru 0.250 0.250 0.750 1



# MgSbRu PBE relaxed
# E (eV per atom): -5.19
# Formation energy from raw total energies (meV per atom): -192
# M_tot (Bohr magnetons per cell): 0.00
data_MgSbRu
_symmetry_space_group_name_H-M 'P 1 m 1'
_symmetry_Int_Tables_number 6
_symmetry_space_group_name_Hall 'P -2y'
_cell_length_a 3.199
_cell_length_b 3.202
_cell_length_c 6.105
_cell_angle_alpha 90.00
_cell_angle_beta 90.09
_cell_angle_gamma 90.00
loop_
_atom_site_label
_atom_site_type_symbol
_atom_site_fract_x
_atom_site_fract_y
_atom_site_fract_z
_atom_site_occupancy
Mg1 Mg 0.000 0.000 0.000 1
Sb1 Sb 0.999 0.000 0.488 1
Ru1 Ru 0.499 0.500 0.725 1



# Mg2SbRu PBE relaxed
# E (eV per atom): -4.21
# Formation energy from raw total energies (meV per atom): -68
# M_tot (Bohr magnetons per cell): 0.00
data_Mg2SbRu
_symmetry_space_group_name_H-M 'C 1 m 1'
_symmetry_Int_Tables_number 8
_symmetry_space_group_name_Hall 'C -2y'
_cell_length_a 9.594
_cell_length_b 3.405
_cell_length_c 4.818
_cell_angle_alpha 90.00
_cell_angle_beta 105.75
_cell_angle_gamma 90.00
loop_
_atom_site_label
_atom_site_type_symbol
_atom_site_fract_x
_atom_site_fract_y
_atom_site_fract_z
_atom_site_occupancy
Mg1 Mg 0.000 0.000 0.000 1
Mg2 Mg 0.231 0.000 0.751 1
Sb1 Sb 0.460 0.000 0.447 1
Ru1 Ru 0.238 0.500 0.258 1



# MgSbRu3 PBE relaxed
# E (eV per atom): -5.47
# Formation energy from raw total energies (meV per atom): 1237
# M_tot (Bohr magnetons per cell): 2.95
data_MgSbRu3
_symmetry_space_group_name_H-M 'P m -3 m'
_symmetry_Int_Tables_number 221
_symmetry_space_group_name_Hall '-P 4 2 3'
_cell_length_a 4.827
_cell_length_b 4.827
_cell_length_c 4.827
_cell_angle_alpha 90.00
_cell_angle_beta 90.00
_cell_angle_gamma 90.00
loop_
_atom_site_label
_atom_site_type_symbol
_atom_site_fract_x
_atom_site_fract_y
_atom_site_fract_z
_atom_site_occupancy
Mg1 Mg 0.000 0.000 0.000 1
Sb1 Sb 0.500 0.500 0.500 1
Ru1 Ru 0.000 0.500 0.500 1



# MgSbRu2 PBE relaxed
# E (eV per atom): -6.15
# Formation energy from raw total energies (meV per atom): -83
# M_tot (Bohr magnetons per cell): 0.00
data_MgSbRu2
_symmetry_space_group_name_H-M 'P 4/m m m'
_symmetry_Int_Tables_number 123
_symmetry_space_group_name_Hall '-P 4 2'
_cell_length_a 3.204
_cell_length_b 3.204
_cell_length_c 6.283
_cell_angle_alpha 90.00
_cell_angle_beta 90.00
_cell_angle_gamma 90.00
loop_
_atom_site_label
_atom_site_type_symbol
_atom_site_fract_x
_atom_site_fract_y
_atom_site_fract_z
_atom_site_occupancy
Mg1 Mg 0.000 0.000 0.000 1
Sb1 Sb 0.000 0.000 0.500 1
Ru1 Ru 0.500 0.500 0.262 1